1.
Below is BaEuGaAu after structural relaxation, with properties calculated at the PBE level.

Values from the calculation:
* space group: No. 216
* formation energy from the elements: -0.4768 eV/atom
* total moment: 7.4 μB/f.u.
* volume: 30.18 Å³/atom
* total DFT energy (no corrections): -20.41 eV/cell

a b c (Å): 5.548 5.548 5.548
angles (deg): 60.00 60.00 60.00
Element x y z (fractional)
1 Ba 0.000 0.000 0.000
2 Eu 0.500 0.500 0.500
3 Ga 0.250 0.250 0.250
4 Au 0.750 0.750 0.750

2.
Below is YBe3Cd after structural relaxation, with properties calculated at the PBE level.

Values from the calculation:
* space group: No. 221
* formation energy from the elements: 0.5614 eV/atom
* energy relative to the lowest polymorph listed for this composition: 0.00 eV/f.u.
* total moment: 0.0 μB/f.u.
* volume: 17.40 Å³/atom
* total DFT energy (no corrections): -15.75 eV/cell

a b c (Å): 4.431 4.431 4.431
angles (deg): 90.00 90.00 90.00
Element x y z (fractional)
1 Y 0.000 0.000 0.000
2 Be 0.000 0.500 0.500
3 Be 0.500 0.000 0.500
4 Be 0.500 0.500 0.000
5 Cd 0.500 0.500 0.500

3.
Below is LiCaEuNi after structural relaxation, with properties calculated at the PBE level.

Values from the calculation:
* space group: No. 216
* formation energy from the elements: 0.0272 eV/atom
* total moment: 7.4 μB/f.u.
* volume: 23.90 Å³/atom
* total DFT energy (no corrections): -19.86 eV/cell

a b c (Å): 5.132 5.132 5.132
angles (deg): 60.00 60.00 60.00
Element x y z (fractional)
1 Li 0.000 0.000 0.000
2 Ca 0.750 0.750 0.750
3 Eu 0.250 0.250 0.250
4 Ni 0.500 0.500 0.500

4.
Below is Li2LaCl after structural relaxation, with properties calculated at the PBE level.

Values from the calculation:
* space group: No. 12
* energy relative to the elements, uncorrected: -0.589 eV/atom
* energy relative to the lowest polymorph listed for this composition: 0.52 eV/f.u.
* total moment: 0.0 μB/f.u.
* volume: 26.04 Å³/atom
* total DFT energy (no corrections): -12.96 eV/cell

a b c (Å): 6.927 6.927 3.640
angles (deg): 104.96 104.96 130.66
Element x y z (fractional)
1 Li 0.000 0.500 0.000
2 Li 0.500 0.000 0.000
3 La 0.000 0.000 0.500
4 Cl 0.500 0.500 0.500

5.
Below is CaYAl after structural relaxation, with properties calculated at the PBE level.

Values from the calculation:
* space group: No. 8
* formation energy from the elements: -0.1715 eV/atom
* energy relative to the lowest polymorph listed for this composition: 0.23 eV/f.u.
* total moment: 0.0 μB/f.u.
* volume: 28.39 Å³/atom
* total DFT energy (no corrections): -25.45 eV/cell

a b c (Å): 6.106 6.106 6.799
angles (deg): 114.40 114.40 48.95
Element x y z (fractional)
1 Ca 0.000 0.000 0.000
2 Ca 0.637 0.637 0.823
3 Y 0.380 0.380 0.257
4 Y 0.734 0.734 0.430
5 Al 0.047 0.047 0.495
6 Al 0.319 0.319 0.733

6.
Below is Ho2CdPd after structural relaxation, with properties calculated at the PBE level.

Values from the calculation:
* space group: No. 166
* formation energy from the elements: -0.0145 eV/atom
* energy relative to the lowest polymorph listed for this composition: 2.40 eV/f.u.
* total moment: 0.0 μB/f.u.
* volume: 25.24 Å³/atom
* total DFT energy (no corrections): -15.32 eV/cell

a b c (Å): 10.644 10.644 10.644
angles (deg): 18.04 18.04 18.04
Element x y z (fractional)
1 Ho 0.083 0.083 0.083
2 Ho 0.917 0.917 0.917
3 Cd 0.500 0.500 0.500
4 Pd 0.000 0.000 0.000

7.
Below is SrAg2Te after structural relaxation, with properties calculated at the PBE level.

Values from the calculation:
* space group: No. 122
* energy relative to the elements, uncorrected: -0.360 eV/atom
* energy relative to the lowest polymorph listed for this composition: 0.57 eV/f.u.
* total moment: 0.0 μB/f.u.
* volume: 28.75 Å³/atom
* total DFT energy (no corrections): -23.94 eV/cell

a b c (Å): 11.866 11.866 11.866
angles (deg): 158.21 158.21 31.00
Element x y z (fractional)
1 Sr 0.000 0.000 0.000
2 Sr 0.750 0.250 0.500
3 Ag 0.143 0.625 0.018
4 Ag 0.375 0.393 0.518
5 Ag 0.607 0.125 0.982
6 Ag 0.875 0.857 0.482
7 Te 0.250 0.750 0.500
8 Te 0.500 0.500 0.000

8.
Below is LaHgSe3 after structural relaxation, with properties calculated at the PBE level.

Values from the calculation:
* space group: No. 221
* energy relative to the elements, uncorrected: -0.318 eV/atom
* energy relative to the lowest polymorph listed for this composition: 0.89 eV/f.u.
* total moment: 3.0 μB/f.u.
* volume: 40.73 Å³/atom
* total DFT energy (no corrections): -17.27 eV/cell

a b c (Å): 5.883 5.883 5.883
angles (deg): 90.00 90.00 90.00
Element x y z (fractional)
1 La 0.000 0.000 0.000
2 Hg 0.500 0.500 0.500
3 Se 0.000 0.000 0.500
4 Se 0.000 0.500 0.000
5 Se 0.500 0.000 0.000